Entry 1:
A geometry-optimized LiCeGa4Pt2 structure. Source: the Alexandria database, functional PBE.

Unit cell a=4.327 b=4.327 c=8.886 alpha=75.91 beta=75.91 gamma=60.00
Element x y z (fractional)
Li 0.500 0.500 0.500
Ce 0.000 0.000 0.000
Ga 0.398 0.398 0.806
Ga 0.870 0.870 0.390
Ga 0.130 0.130 0.610
Ga 0.602 0.602 0.194
Pt 0.765 0.765 0.705
Pt 0.235 0.235 0.295

Values from the calculation:
E_form ... -0.7154 eV/atom

***

Entry 2:
A geometry-optimized LiCeGa2Pt4 structure. Source: the Alexandria database, functional PBE.

Unit cell a=4.283 b=4.283 c=8.863 alpha=76.02 beta=76.02 gamma=60.00
Element x y z (fractional)
Li 0.500 0.500 0.500
Ce 0.000 0.000 0.000
Ga 0.763 0.763 0.712
Ga 0.237 0.237 0.288
Pt 0.401 0.401 0.797
Pt 0.867 0.867 0.398
Pt 0.133 0.133 0.602
Pt 0.599 0.599 0.203

Values from the calculation:
E_form ... -0.8539 eV/atom

***

Entry 3:
A geometry-optimized LiCeGa2Pt2 structure. Source: the Alexandria database, functional PBE.

Unit cell a=4.389 b=4.389 c=6.613 alpha=90.00 beta=90.00 gamma=120.00
Element x y z (fractional)
Li 0.000 0.000 0.500
Ce 0.000 0.000 0.000
Ga 0.667 0.333 0.677
Ga 0.333 0.667 0.323
Pt 0.667 0.333 0.275
Pt 0.333 0.667 0.725

Values from the calculation:
E_form ... -0.8785 eV/atom

***

Entry 4:
A geometry-optimized LiCe2Ga2Rh5 structure. Source: the Alexandria database, functional PBE.

Unit cell a=3.624 b=9.761 c=9.761 alpha=90.00 beta=90.00 gamma=90.00
Element x y z (fractional)
Li 0.000 0.000 0.000
Li 0.000 0.500 0.500
Ce 0.000 0.676 0.176
Ce 0.000 0.324 0.824
Ce 0.000 0.176 0.324
Ce 0.000 0.824 0.676
Ga 0.000 0.123 0.623
Ga 0.000 0.877 0.377
Ga 0.000 0.623 0.877
Ga 0.000 0.377 0.123
Rh 0.500 0.203 0.076
Rh 0.500 0.797 0.924
Rh 0.500 0.076 0.797
Rh 0.500 0.703 0.424
Rh 0.500 0.924 0.203
Rh 0.500 0.297 0.576
Rh 0.500 0.576 0.703
Rh 0.500 0.424 0.297
Rh 0.500 0.500 0.000
Rh 0.500 0.000 0.500

Values from the calculation:
E_form ... -0.5972 eV/atom

***

Entry 5:
A geometry-optimized LiCeGaRu structure. Source: the Alexandria database, functional PBE.

Unit cell a=4.633 b=4.633 c=4.633 alpha=60.00 beta=60.00 gamma=60.00
Element x y z (fractional)
Ru 0.750 0.750 0.750
Ga 0.000 0.000 0.000
Ce 0.500 0.500 0.500
Li 0.250 0.250 0.250

Values from the calculation:
E_form ... -0.3002 eV/atom

***

Entry 6:
A geometry-optimized LiCe2Ga6Ru structure. Source: the Alexandria database, functional PBE.

Unit cell a=6.547 b=6.548 c=6.541 alpha=60.01 beta=60.01 gamma=90.01
Element x y z (fractional)
Li 0.500 0.500 0.000
Ce 0.250 0.750 0.500
Ce 0.750 0.250 0.500
Ga 0.261 0.739 0.000
Ga 0.739 0.739 0.000
Ga 0.261 0.261 0.478
Ga 0.739 0.261 0.000
Ga 0.261 0.261 0.000
Ga 0.739 0.739 0.522
Ru 0.000 0.000 0.000

Values from the calculation:
E_form ... -0.2661 eV/atom

***

Entry 7:
A geometry-optimized LiCeSc2Ga4 structure. Source: the Alexandria database, functional PBE.

Unit cell a=4.745 b=4.745 c=8.623 alpha=74.03 beta=74.03 gamma=60.00
Element x y z (fractional)
Li 0.500 0.500 0.500
Ce 0.000 0.000 0.000
Sc 0.756 0.756 0.731
Sc 0.244 0.244 0.269
Ga 0.381 0.381 0.856
Ga 0.872 0.872 0.385
Ga 0.128 0.128 0.615
Ga 0.619 0.619 0.144

Values from the calculation:
E_form ... -0.4731 eV/atom

***

Entry 8:
A geometry-optimized LiCe2GaSe5 structure. Source: the Alexandria database, functional PBE.

Unit cell a=4.038 b=9.143 c=11.949 alpha=90.00 beta=90.00 gamma=102.76
Element x y z (fractional)
Li 0.787 0.574 0.518
Li 0.213 0.426 0.018
Ce 0.867 0.733 0.806
Ce 0.121 0.243 0.682
Ce 0.133 0.267 0.306
Ce 0.879 0.757 0.182
Ga 0.567 0.135 0.954
Ga 0.433 0.865 0.454
Se 0.358 0.716 0.999
Se 0.686 0.373 0.853
Se 0.499 0.998 0.778
Se 0.292 0.583 0.668
Se 0.957 0.913 0.567
Se 0.642 0.284 0.499
Se 0.314 0.627 0.353
Se 0.501 0.002 0.278
Se 0.708 0.417 0.168
Se 0.043 0.087 0.067

Values from the calculation:
Energy relative to the elements, uncorrected ... -1386 meV per atom

***

Entry 9:
A geometry-optimized LiCeGaSi structure. Source: the Alexandria database, functional PBE.

Unit cell a=4.813 b=4.813 c=4.813 alpha=60.00 beta=60.00 gamma=60.00
Element x y z (fractional)
Si 0.250 0.250 0.250
Ga 0.750 0.750 0.750
Ce 0.000 0.000 0.000
Li 0.500 0.500 0.500

Values from the calculation:
Energy relative to the elements, uncorrected ... -361 meV per atom

***

Entry 10:
A geometry-optimized LiCeGaSi2 structure. Source: the Alexandria database, functional PBE.

Unit cell a=4.046 b=4.046 c=6.229 alpha=108.95 beta=108.95 gamma=90.00
Element x y z (fractional)
Li 0.250 0.750 0.500
Ce 0.000 0.000 0.000
Ga 0.750 0.250 0.500
Si 0.608 0.608 0.215
Si 0.392 0.392 0.785

Values from the calculation:
Energy relative to the elements, uncorrected ... -470 meV per atom

***

Entry 11:
A geometry-optimized SrLiCeGa structure. Source: the Alexandria database, functional PBE.

Unit cell a=5.402 b=5.402 c=5.402 alpha=60.00 beta=60.00 gamma=60.00
Element x y z (fractional)
Sr 0.500 0.500 0.500
Ga 0.250 0.250 0.250
Ce 0.000 0.000 0.000
Li 0.750 0.750 0.750

Values from the calculation:
E_form ... -0.0887 eV/atom

***

Entry 12:
A geometry-optimized LiCeYGa structure. Source: the Alexandria database, functional PBE.

Unit cell a=5.139 b=5.139 c=5.139 alpha=60.00 beta=60.00 gamma=60.00
Element x y z (fractional)
Y 0.750 0.750 0.750
Ga 0.000 0.000 0.000
Ce 0.250 0.250 0.250
Li 0.500 0.500 0.500

Values from the calculation:
E_form ... -0.2280 eV/atom

***

Entry 13:
A geometry-optimized Li2CeZn2Ga2 structure. Source: the Alexandria database, functional PBE.

Unit cell a=4.380 b=4.374 c=8.071 alpha=105.86 beta=90.00 gamma=120.04
Element x y z (fractional)
Li 0.142 0.285 0.425
Li 0.858 0.715 0.575
Ce 0.000 0.000 0.000
Zn 0.572 0.143 0.716
Zn 0.428 0.857 0.284
Ga 0.741 0.482 0.222
Ga 0.259 0.518 0.778

Values from the calculation:
E_form ... -0.3554 eV/atom

***

Entry 14:
A geometry-optimized LiCeZnGa2 structure. Source: the Alexandria database, functional PBE.

Unit cell a=4.240 b=4.240 c=6.135 alpha=110.22 beta=110.22 gamma=90.00
Element x y z (fractional)
Li 0.750 0.250 0.500
Ce 0.000 0.000 0.000
Zn 0.250 0.750 0.500
Ga 0.615 0.615 0.231
Ga 0.385 0.385 0.769

Values from the calculation:
E_form ... -0.4030 eV/atom

***

Entry 15:
A geometry-optimized CeLuGa4 structure. Source: the Alexandria database, functional PBE.

Unit cell a=5.528 b=5.528 c=5.528 alpha=60.00 beta=60.00 gamma=60.00
Element x y z (fractional)
Lu 0.250 0.250 0.250
Ga 0.625 0.625 0.124
Ga 0.625 0.124 0.625
Ga 0.625 0.625 0.625
Ga 0.124 0.625 0.625
Ce 0.000 0.000 0.000

Values from the calculation:
E_form ... -0.4752 eV/atom

***

Entry 16:
A geometry-optimized CeLuGa structure. Source: the Alexandria database, functional PBE.

Unit cell a=3.583 b=4.964 c=4.964 alpha=120.00 beta=90.00 gamma=90.00
Element x y z (fractional)
Lu 0.096 0.000 0.000
Ga 0.261 0.333 0.667
Ce 0.643 0.667 0.333

Values from the calculation:
Distance to the lowest polymorph of the same formula ... 0.000 eV/atom
E_form ... -0.1998 eV/atom

***

Entry 17:
A geometry-optimized Ce2LuGa structure. Source: the Alexandria database, functional PBE.

Unit cell a=5.062 b=4.390 c=4.390 alpha=90.00 beta=90.00 gamma=90.00
Element x y z (fractional)
Lu 0.500 0.000 0.000
Ga 0.500 0.500 0.500
Ce 0.000 0.000 0.500
Ce 0.000 0.500 0.000

Values from the calculation:
Distance to the lowest polymorph of the same formula ... 0.000 eV/atom
E_form ... -0.2424 eV/atom

***

Entry 18:
A geometry-optimized CeLuGa structure. Source: the Alexandria database, functional PBE.

Unit cell a=4.920 b=4.920 c=4.920 alpha=60.00 beta=60.00 gamma=60.00
Element x y z (fractional)
Lu 0.000 0.000 0.000
Ce 0.500 0.500 0.500
Ga 0.250 0.250 0.250

Values from the calculation:
Distance to the lowest polymorph of the same formula ... 0.043 eV/atom
E_form ... -0.1569 eV/atom

***

Entry 19:
A geometry-optimized Ce2LuGa structure. Source: the Alexandria database, functional PBE.

Unit cell a=3.245 b=3.245 c=12.116 alpha=82.30 beta=82.30 gamma=60.00
Element x y z (fractional)
Lu 0.500 0.500 0.500
Ga 0.000 0.000 0.000
Ce 0.086 0.086 0.743
Ce 0.914 0.914 0.257

Values from the calculation:
Distance to the lowest polymorph of the same formula ... 0.444 eV/atom
E_form ... 0.2017 eV/atom

***

Entry 20:
A geometry-optimized Ce2LuGa structure. Source: the Alexandria database, functional PBE.

Unit cell a=3.889 b=3.889 c=7.070 alpha=90.00 beta=90.00 gamma=90.00
Element x y z (fractional)
Lu 0.500 0.500 0.500
Ga 0.500 0.500 0.000
Ce 0.000 0.000 0.802
Ce 0.000 0.000 0.198

Values from the calculation:
Distance to the lowest polymorph of the same formula ... 0.063 eV/atom
E_form ... -0.1791 eV/atom